Run a
BaBe3Re | PBE-GGA | relaxed

Computed properties:
Crystal system   cubic
DOS at the Fermi energy   2.8205 states/eV per atom
M_tot   0.41 μB/f.u.

```
BaBe3Re
1.0
4.5868 0.0000 0.0000
0.0000 4.5868 0.0000
0.0000 0.0000 4.5868
Ba Be Re
1 3 1
Direct
0.0000 0.0000 0.0000
0.0000 0.0000 0.5000
0.0000 0.5000 0.0000
0.5000 0.0000 0.0000
0.5000 0.5000 0.5000
```

Run b
BaBe3Re | PBE-GGA | relaxed

Computed properties:
Crystal system   cubic
DOS at the Fermi energy   0.5845 states/eV per atom
M_tot   0.00 μB/f.u.

```
BaBe3Re
1.0
4.5740 0.0000 0.0000
0.0000 4.5740 0.0000
0.0000 0.0000 4.5740
Ba Be Re
1 3 1
Direct
0.0000 0.0000 0.0000
0.0000 0.5000 0.5000
0.5000 0.0000 0.5000
0.5000 0.5000 0.0000
0.5000 0.5000 0.5000
```

Stability summary: most stable run b, least stable run a.

Run a
BaBeRe | PBE-GGA | relaxed

Computed properties:
Crystal system   cubic
DOS at the Fermi energy   0.1564 states/eV per atom
M_tot   2.99 μB/f.u.

```
BaBeRe
1.0
7.1274 0.0000 0.0000
0.0000 7.1274 0.0000
0.0000 0.0000 7.1274
Ba Be Re
4 4 4
Direct
0.0000 0.0000 0.0000
0.0000 0.5000 0.5000
0.5000 0.0000 0.5000
0.5000 0.5000 0.0000
0.2500 0.2500 0.2500
0.2500 0.7500 0.7500
0.7500 0.2500 0.7500
0.7500 0.7500 0.2500
0.2500 0.2500 0.7500
0.2500 0.7500 0.2500
0.7500 0.2500 0.2500
0.7500 0.7500 0.7500
```

Run b
BaBeRe | PBE-GGA | relaxed

Computed properties:
Crystal system   tetragonal
DOS at the Fermi energy   0.9133 states/eV per atom
M_tot   0.00 μB/f.u.

```
BaBeRe
1.0
3.2914 0.0000 0.0000
0.0000 3.2914 0.0000
0.0000 0.0000 11.5133
Ba Be Re
2 2 2
Direct
0.0000 0.0000 0.0000
0.5000 0.5000 0.5000
0.0000 0.0000 0.7430
0.5000 0.5000 0.2430
0.0000 0.0000 0.2759
0.5000 0.5000 0.7759
```

Stability summary: most stable run b, least stable run a.